No. 1
Compound: Ca5BeO6
Source: Alexandria
Functional: GGA-PBE
Structure: optimized geometry

Computed properties:
Calculated total energy   -6.2866 eV/atom
Energy relative to the elements, uncorrected   -61.4 kcal/mol of atoms
Space group   C2/m
N(E_F)   0.0 states/eV/f.u.

Unit cell a=5.719 b=5.704 c=5.866 alpha=60.91 beta=82.48 gamma=74.38
Fractional positions:
Ca1 0.500 0.165 0.671
Ca2 0.000 0.327 0.346
Ca3 0.500 0.500 0.000
Ca4 0.000 0.673 0.654
Ca5 0.500 0.835 0.329
Be1 0.000 0.000 0.000
O1 0.730 0.104 0.339
O2 0.270 0.557 0.339
O3 0.177 0.181 0.000
O4 0.823 0.819 0.000
O5 0.730 0.443 0.661
O6 0.270 0.896 0.661

---

No. 2
Compound: CsIn6Ge2
Source: Alexandria
Functional: GGA-PBE
Structure: optimized geometry

Computed properties:
Calculated total energy   -2.9135 eV/atom
Space group   P4/mmm
Energy of formation   0.03 eV per atom
N(E_F)   4.4 states/eV/f.u.

Unit cell a=4.645 b=4.645 c=12.290 alpha=90.00 beta=90.00 gamma=90.00
Fractional positions:
Cs1 0.000 0.000 0.000
In1 0.000 0.500 0.293
In2 0.500 0.000 0.293
In3 0.000 0.500 0.707
In4 0.500 0.000 0.707
In5 0.500 0.500 0.500
In6 0.000 0.000 0.500
Ge1 0.500 0.500 0.153
Ge2 0.500 0.500 0.847

---

No. 3
Compound: Ti2ReGeBr
Source: Alexandria
Functional: GGA-PBE
Structure: optimized geometry

Computed properties:
Calculated total energy   -5.8864 eV/atom
Energy relative to the elements, uncorrected   23.5 kcal/mol of atoms
Space group   P4/mmm
N(E_F)   8.3 states/eV/f.u.

Unit cell a=4.870 b=4.580 c=4.870 alpha=90.00 beta=90.00 gamma=90.00
Fractional positions:
Re1 0.000 0.500 0.000
Ge1 0.000 0.000 0.000
Br1 0.500 0.500 0.500
Ti1 0.000 0.000 0.500
Ti2 0.500 0.000 0.000

---

No. 4
Compound: FeSbPd
Source: Alexandria
Functional: GGA-PBE
Structure: optimized geometry

Computed properties:
Calculated total energy   -6.0432 eV/atom
Energy relative to the elements, uncorrected   -2.7 kcal/mol of atoms
Space group   R3m
N(E_F)   2.0 states/eV/f.u.

Unit cell a=4.232 b=4.232 c=20.382 alpha=90.00 beta=90.00 gamma=120.00
Last column: magnetic moment on the atom in μB.
Fractional positions:
Sb1 0.000 0.000 0.384  -0.05
Sb2 0.333 0.667 0.051  -0.05
Sb3 0.667 0.333 0.718  -0.05
Sb4 0.000 0.000 0.204  -0.04
Sb5 0.333 0.667 0.871  -0.04
Sb6 0.667 0.333 0.538  -0.04
Fe1 0.000 0.000 0.791  2.80
Fe2 0.333 0.667 0.458  2.80
Fe3 0.667 0.333 0.124  2.80
Fe4 0.000 0.000 0.082  1.78
Fe5 0.333 0.667 0.748  1.78
Fe6 0.667 0.333 0.415  1.78
Pd1 0.000 0.000 0.924  0.04
Pd2 0.333 0.667 0.590  0.04
Pd3 0.667 0.333 0.257  0.04
Pd4 0.000 0.000 0.659  0.03
Pd5 0.333 0.667 0.326  0.03
Pd6 0.667 0.333 0.992  0.03

---

No. 5
Compound: TbEr5Sn4
Source: Alexandria
Functional: GGA-PBE
Structure: optimized geometry

Computed properties:
Calculated total energy   -4.7323 eV/atom
Space group   C2/m
Energy of formation   -0.39 eV per atom
N(E_F)   10.7 states/eV/f.u.

Unit cell a=4.462 b=7.832 c=9.085 alpha=101.23 beta=104.22 gamma=90.00
Last column: magnetic moment on the atom in μB.
Fractional positions:
Tb1 0.500 0.000 0.000  0.00
Er1 0.792 0.688 0.584  0.07
Er2 0.861 0.273 0.722  0.03
Er3 0.139 0.727 0.278  0.03
Er4 0.500 0.500 0.000  -0.02
Er5 0.208 0.312 0.416  0.07
Sn1 0.312 0.985 0.624  0.00
Sn2 0.963 0.723 0.926  0.00
Sn3 0.688 0.015 0.376  0.00
Sn4 0.037 0.277 0.074  0.00

---

No. 6
Compound: Ac2RuCl
Source: Alexandria
Functional: GGA-PBE
Structure: optimized geometry

Computed properties:
Calculated total energy   -5.7211 eV/atom
Energy relative to the elements, uncorrected   -20.4 kcal/mol of atoms
Space group   R3m
N(E_F)   2.7 states/eV/f.u.

Unit cell a=4.259 b=4.259 c=8.491 alpha=75.48 beta=75.48 gamma=60.00
Fractional positions:
Ac1 0.067 0.067 0.798
Ac2 0.267 0.267 0.198
Ru1 0.668 0.668 0.996
Cl1 0.497 0.497 0.509

---

No. 7
Compound: TlReAgCl6
Source: Alexandria
Functional: GGA-PBE
Structure: optimized geometry

Computed properties:
Calculated total energy   -3.8760 eV/atom
Energy relative to the elements, uncorrected   -15.7 kcal/mol of atoms
Space group   P-31c

Unit cell a=6.914 b=6.914 c=13.253 alpha=90.00 beta=90.00 gamma=120.00
Last column: magnetic moment on the atom in μB.
Fractional positions:
Tl1 0.000 0.000 0.000  0.01
Tl2 0.000 0.000 0.500  0.01
Re1 0.667 0.333 0.250  2.19
Re2 0.333 0.667 0.750  2.19
Ag1 0.333 0.667 0.250  0.03
Ag2 0.667 0.333 0.750  0.03
Cl1 0.650 0.605 0.146  0.05
Cl2 0.955 0.350 0.146  0.05
Cl3 0.350 0.955 0.646  0.05
Cl4 0.045 0.650 0.854  0.05
Cl5 0.395 0.350 0.354  0.05
Cl6 0.955 0.605 0.354  0.05
Cl7 0.605 0.955 0.854  0.05
Cl8 0.650 0.045 0.354  0.05
Cl9 0.045 0.395 0.646  0.05
Cl10 0.395 0.045 0.146  0.05
Cl11 0.605 0.650 0.646  0.05
Cl12 0.350 0.395 0.854  0.05

---

No. 8
Compound: Dy2ErTh
Source: Alexandria
Functional: GGA-PBE
Structure: optimized geometry

Computed properties:
Calculated total energy   -5.2600 eV/atom
Space group   P-6m2
Energy of formation   0.04 eV per atom
N(E_F)   8.4 states/eV/f.u.

Unit cell a=3.576 b=3.576 c=11.463 alpha=90.00 beta=90.00 gamma=60.00
Fractional positions:
Dy1 0.807 0.037 0.560
Dy2 0.807 0.037 0.067
Er1 0.140 0.371 0.313
Th1 0.141 0.370 0.813

---

No. 9
Compound: MgInSi
Source: Alexandria
Functional: GGA-PBE
Structure: optimized geometry

Computed properties:
Calculated total energy   -3.0578 eV/atom
Energy relative to the elements, uncorrected   4.5 kcal/mol of atoms
Space group   Fmm2
N(E_F)   1.8 states/eV/f.u.

Unit cell a=6.397 b=6.393 c=3.263 alpha=75.29 beta=75.15 gamma=29.56
Fractional positions:
In1 0.010 0.010 0.990
Mg1 0.315 0.315 0.685
Si1 0.674 0.674 0.326

---

No. 10
Compound: Y2POsPt
Source: Alexandria
Functional: GGA-PBE
Structure: optimized geometry

Computed properties:
Calculated total energy   -6.7675 eV/atom
Space group   P4/mmm
Energy of formation   0.35 eV per atom
N(E_F)   5.1 states/eV/f.u.

Unit cell a=5.372 b=4.693 c=5.372 alpha=90.00 beta=90.00 gamma=90.00
Last column: magnetic moment on the atom in μB.
Fractional positions:
Y1 0.000 0.000 0.500  -0.01
Y2 0.500 0.000 0.000  -0.02
P1 0.500 0.500 0.500  0.04
Os1 0.000 0.500 0.000  0.42
Pt1 0.000 0.000 0.000  0.02

---

No. 11
Compound: Rb2Er2TeO6
Source: Alexandria
Functional: GGA-PBE
Structure: optimized geometry

Computed properties:
Calculated total energy   -6.2808 eV/atom
Energy relative to the elements, uncorrected   -52.7 kcal/mol of atoms
Space group   C2/m
N(E_F)   0.0 states/eV/f.u.

Unit cell a=5.931 b=5.931 c=6.950 alpha=97.95 beta=97.95 gamma=119.88
Fractional positions:
Rb1 0.834 0.166 0.000
Rb2 0.166 0.834 0.000
Er1 0.335 0.665 0.500
Er2 0.665 0.335 0.500
Te1 0.000 0.000 0.500
O1 0.731 0.731 0.666
O2 0.049 0.383 0.666
O3 0.269 0.269 0.334
O4 0.383 0.049 0.666
O5 0.951 0.617 0.334
O6 0.617 0.951 0.334

---

No. 12
Compound: Er2Tm3Te8
Source: Alexandria
Functional: GGA-PBE
Structure: optimized geometry

Computed properties:
Calculated total energy   -4.8915 eV/atom
Energy relative to the elements, uncorrected   -28.2 kcal/mol of atoms
Space group   C2/m
N(E_F)   5.6 states/eV/f.u.

Unit cell a=7.422 b=8.607 c=8.724 alpha=119.56 beta=106.01 gamma=90.00
Fractional positions:
Er1 0.330 0.251 0.502
Er2 0.670 0.749 0.498
Tm1 0.500 0.000 0.000
Tm2 0.000 0.257 0.000
Tm3 0.000 0.743 0.000
Te1 0.899 0.617 0.234
Te2 0.101 0.383 0.766
Te3 0.915 0.120 0.241
Te4 0.085 0.880 0.759
Te5 0.588 0.630 0.757
Te6 0.588 0.127 0.757
Te7 0.412 0.873 0.243
Te8 0.412 0.370 0.243